# 1
VASP calculation (PBE) on TlSn3AsP after structural relaxation.

abc: 9.1895 3.9426 9.4746
angles: 90.00 101.13 90.00
Space group P2_1/m (No. 11)
Symmetry-distinct sites (fractional):
Tl (0.1322, 0.2500, 0.2101) x2
Sn (0.1212, 0.2500, 0.6552) x2
Sn (0.2938, 0.7500, 0.9805) x2
Sn (0.4683, 0.7500, 0.6194) x2
As (0.4269, 0.2500, 0.8334) x2
P (0.1853, 0.7500, 0.4884) x2

Values from the calculation:
DOS at the Fermi energy: 2.6 states/eV per cell
Calculated formation energy: 0.03 eV/atom
Magnetization: 0.0 μB/f.u.

=====

# 2
VASP calculation (PBE) on TlSnAs2P after structural relaxation.

abc: 4.8406 4.8406 5.3967
angles: 90.00 90.00 90.00
Space group P4/mmm (No. 123)
Symmetry-distinct sites (fractional):
Tl (0.0000, 0.0000, 0.0000) x1
Sn (0.5000, 0.5000, 0.0000) x1
As (0.0000, 0.5000, 0.5000) x2
P (0.0000, 0.0000, 0.5000) x1

Values from the calculation:
DOS at the Fermi energy: 2.2 states/eV per cell
Calculated formation energy: 0.48 eV/atom
Magnetization: 0.0 μB/f.u.

=====

# 3
VASP calculation (PBE) on Tm6SnAs3P2 after structural relaxation.

abc: 17.6401 4.0348 8.2172
angles: 90.00 102.12 90.00
Space group C2/m (No. 12)
Symmetry-distinct sites (fractional):
Tm (0.0052, 0.0000, 0.2697) x4
Tm (0.1696, 0.5000, 0.5810) x4
Tm (0.1745, 0.5000, 0.0981) x4
Sn (0.0000, 0.5000, 0.0000) x2
As (0.0000, 0.5000, 0.5000) x2
As (0.1635, 0.0000, 0.8345) x4
P (0.1687, 0.0000, 0.3385) x4

Values from the calculation:
DOS at the Fermi energy: 6.5 states/eV per cell
Calculated formation energy: -1.33 eV/atom
Magnetization: 0.0 μB/f.u.

=====

# 4
VASP calculation (PBE) on ZnSnAsP after structural relaxation.

abc: 7.1079 4.1041 7.1802
angles: 90.00 109.29 90.00
Space group Cm (No. 8)
Symmetry-distinct sites (fractional):
Zn (0.0000, 0.0000, 0.0000) x2
Sn (0.4766, 0.0000, 0.4270) x2
As (0.3703, 0.5000, 0.6080) x2
P (0.3529, 0.0000, 0.0584) x2

Values from the calculation:
DOS at the Fermi energy: 0.4 states/eV per cell
Calculated formation energy: -0.16 eV/atom
Magnetization: 0.0 μB/f.u.

=====

# 5
VASP calculation (PBE) on Sr3AsP after structural relaxation.

abc: 8.9444 8.4105 8.6671
angles: 90.00 98.31 90.00
Space group P2_1/c (No. 14)
Symmetry-distinct sites (fractional):
Sr (0.0598, 0.0078, 0.2244) x4
Sr (0.2787, 0.1152, 0.5872) x4
Sr (0.3730, 0.6953, 0.4985) x4
As (0.4173, 0.0732, 0.2643) x4
P (0.0542, 0.7195, 0.0109) x4

Values from the calculation:
Calculated formation energy: -1.06 eV/atom
Excess energy over the best structure of this formula in the dataset: 0.000 eV/f.u.
Magnetization: 0.0 μB/f.u.

=====

# 6
VASP calculation (PBE) on SrAs4P after structural relaxation.

abc: 8.1200 8.1200 8.1200
angles: 90.00 90.00 90.00
Space group F-43m (No. 216)
Symmetry-distinct sites (fractional):
Sr (0.0000, 0.0000, 0.0000) x4
As (0.1143, 0.1143, 0.6143) x16
P (0.2500, 0.2500, 0.2500) x4

Values from the calculation:
DOS at the Fermi energy: 12.0 states/eV per cell
Calculated formation energy: 0.05 eV/atom
Magnetization: 0.0 μB/f.u.

=====

# 7
VASP calculation (PBE) on Sr6AsP3 after structural relaxation.

abc: 7.7077 8.0386 13.2853
angles: 90.00 123.40 90.00
Space group P2_1/c (No. 14)
Symmetry-distinct sites (fractional):
Sr (0.1001, 0.0864, 0.2515) x4
Sr (0.2974, 0.6886, 0.1012) x4
Sr (0.3853, 0.1744, 0.0500) x4
As (0.0000, 0.0000, 0.0000) x2
P (0.2902, 0.0681, 0.7742) x4
P (0.5000, 0.0000, 0.5000) x2

Values from the calculation:
Calculated formation energy: -1.03 eV/atom
Magnetization: 0.0 μB/f.u.

=====

# 8
VASP calculation (PBE) on Sr4AsP after structural relaxation.

abc: 9.2654 9.2654 9.2654
angles: 90.00 90.00 90.00
Space group F-43m (No. 216)
Symmetry-distinct sites (fractional):
Sr (0.1250, 0.1250, 0.1250) x16
As (0.2500, 0.2500, 0.7500) x4
P (0.0000, 0.0000, 0.5000) x4

Values from the calculation:
DOS at the Fermi energy: 8.2 states/eV per cell
Calculated formation energy: 0.36 eV/atom
Magnetization: 0.0 μB/f.u.

=====

# 9
VASP calculation (PBE) on Sr3As3P after structural relaxation.

abc: 19.5018 6.6066 12.9257
angles: 90.00 90.00 90.00
Space group Cmce (No. 64)
Symmetry-distinct sites (fractional):
Sr (0.0000, 0.2280, 0.1222) x8
Sr (0.1610, 0.1645, 0.3611) x16
As (0.0000, 0.2082, 0.3648) x8
As (0.1745, 0.1820, 0.1151) x16
P (0.1097, 0.0000, 0.0000) x8

Values from the calculation:
DOS at the Fermi energy: 24.7 states/eV per cell
Calculated formation energy: -0.81 eV/atom
Magnetization: 0.0 μB/f.u.

=====

# 10
VASP calculation (PBE) on Sr8AsP5 after structural relaxation.

abc: 9.3351 9.3351 9.3028
angles: 90.00 90.00 90.00
Space group I-4 (No. 82)
Symmetry-distinct sites (fractional):
Sr (0.0673, 0.1841, 0.3091) x8
Sr (0.0695, 0.3223, 0.9422) x8
As (0.0000, 0.0000, 0.0000) x2
P (0.0000, 0.5000, 0.2500) x2
P (0.1257, 0.2507, 0.6257) x8

Values from the calculation:
DOS at the Fermi energy: 29.5 states/eV per cell
Calculated formation energy: -1.03 eV/atom
Magnetization: 0.0 μB/f.u.

=====

# 11
VASP calculation (PBE) on Sr3AsP after structural relaxation.

abc: 15.8305 11.1785 7.9895
angles: 90.00 95.41 90.00
Space group C2/c (No. 15)
Symmetry-distinct sites (fractional):
Sr (0.0855, 0.1343, 0.1080) x8
Sr (0.1194, 0.4680, 0.9599) x8
Sr (0.1794, 0.1606, 0.6328) x8
As (0.0000, 0.0987, 0.7500) x4
As (0.0000, 0.3568, 0.2500) x4
P (0.2452, 0.4097, 0.7058) x8

Values from the calculation:
Calculated formation energy: -1.01 eV/atom
Excess energy over the best structure of this formula in the dataset: 0.251 eV/f.u.
Magnetization: 0.0 μB/f.u.

=====

# 12
VASP calculation (PBE) on Sr3AsP after structural relaxation.

abc: 5.6949 5.6949 5.6949
angles: 90.00 90.00 90.00
Space group Pm-3m (No. 221)
Symmetry-distinct sites (fractional):
Sr (0.0000, 0.0000, 0.5000) x3
As (0.5000, 0.5000, 0.5000) x1
P (0.0000, 0.0000, 0.0000) x1

Values from the calculation:
DOS at the Fermi energy: 0.0 states/eV per cell
Calculated formation energy: -0.78 eV/atom
Excess energy over the best structure of this formula in the dataset: 1.401 eV/f.u.
Magnetization: 0.0 μB/f.u.

=====

# 13
VASP calculation (PBE) on Sr8As3P2 after structural relaxation.

abc: 10.7185 15.0591 5.2758
angles: 90.00 90.00 90.00
Space group Cmmm (No. 65)
Symmetry-distinct sites (fractional):
Sr (0.0000, 0.1165, 0.0000) x4
Sr (0.0000, 0.3700, 0.0000) x4
Sr (0.2366, 0.1232, 0.5000) x8
As (0.0000, 0.0000, 0.5000) x2
As (0.2247, 0.5000, 0.0000) x4
P (0.0000, 0.2635, 0.5000) x4

Values from the calculation:
DOS at the Fermi energy: 6.5 states/eV per cell
Calculated formation energy: -0.97 eV/atom
Magnetization: 0.4 μB/f.u.

=====

# 14
VASP calculation (PBE) on Sr2As2P after structural relaxation.

abc: 7.5923 7.5923 4.4904
angles: 90.00 90.00 90.00
Space group P4/mbm (No. 127)
Symmetry-distinct sites (fractional):
Sr (0.1822, 0.3178, 0.0000) x4
As (0.1191, 0.6191, 0.5000) x4
P (0.0000, 0.0000, 0.5000) x2

Values from the calculation:
DOS at the Fermi energy: 8.2 states/eV per cell
Calculated formation energy: -0.66 eV/atom
Magnetization: 0.0 μB/f.u.

=====

# 15
VASP calculation (PBE) on Sr8As5P after structural relaxation.

abc: 9.4660 9.4660 9.5007
angles: 90.00 90.00 90.00
Space group I-4 (No. 82)
Symmetry-distinct sites (fractional):
Sr (0.0672, 0.3142, 0.0554) x8
Sr (0.0694, 0.1793, 0.6958) x8
As (0.0000, 0.5000, 0.7500) x2
As (0.1242, 0.2493, 0.3758) x8
P (0.0000, 0.0000, 0.0000) x2

Values from the calculation:
DOS at the Fermi energy: 27.4 states/eV per cell
Calculated formation energy: -1.08 eV/atom
Magnetization: 0.0 μB/f.u.

=====

# 16
VASP calculation (PBE) on Sr4AsP2 after structural relaxation.

abc: 9.3825 9.3825 9.3234
angles: 90.00 90.00 90.00
Space group I-42d (No. 122)
Symmetry-distinct sites (fractional):
Sr (0.0690, 0.1795, 0.3098) x16
As (0.0000, 0.0000, 0.0000) x4
P (0.1257, 0.2500, 0.6250) x8

Values from the calculation:
DOS at the Fermi energy: 29.0 states/eV per cell
Calculated formation energy: -1.04 eV/atom
Magnetization: 0.0 μB/f.u.

=====

# 17
VASP calculation (PBE) on SrAsPW2 after structural relaxation.

abc: 4.6971 4.6971 5.3112
angles: 90.00 90.00 90.00
Space group P4/mmm (No. 123)
Symmetry-distinct sites (fractional):
Sr (0.0000, 0.0000, 0.0000) x1
As (0.5000, 0.5000, 0.5000) x1
P (0.5000, 0.5000, 0.0000) x1
W (0.0000, 0.5000, 0.5000) x2

Values from the calculation:
DOS at the Fermi energy: 5.2 states/eV per cell
Calculated formation energy: 1.18 eV/atom
Magnetization: 0.0 μB/f.u.

=====

# 18
VASP calculation (PBE) on Sr2ZnAsP after structural relaxation.

abc: 7.5204 4.2550 9.2694
angles: 90.00 107.21 90.00
Space group P2_1/m (No. 11)
Symmetry-distinct sites (fractional):
Sr (0.1820, 0.2500, 0.4006) x2
Sr (0.2209, 0.2500, 0.9588) x2
Zn (0.4964, 0.2500, 0.7345) x2
As (0.2999, 0.7500, 0.6950) x2
P (0.1858, 0.7500, 0.1780) x2

Values from the calculation:
Calculated formation energy: -0.90 eV/atom
Magnetization: 0.0 μB/f.u.

=====

# 19
VASP calculation (PBE) on SrZn2AsP after structural relaxation.

abc: 5.9152 5.9152 14.0325
angles: 90.00 90.00 90.00
Space group I4cm (No. 108)
Symmetry-distinct sites (fractional):
Sr (0.0000, 0.0000, 0.0000) x4
Zn (0.2492, 0.2508, 0.1998) x8
As (0.0000, 0.5000, 0.0764) x4
P (0.0000, 0.0000, 0.2857) x4

Values from the calculation:
DOS at the Fermi energy: 0.7 states/eV per cell
Calculated formation energy: -0.57 eV/atom
Magnetization: 0.0 μB/f.u.

=====

# 20
VASP calculation (PBE) on TaAsP2 after structural relaxation.

abc: 8.3612 3.4479 5.7622
angles: 90.00 100.53 90.00
Space group Cm (No. 8)
Symmetry-distinct sites (fractional):
Ta (0.0000, 0.0000, 0.0000) x2
As (0.3427, 0.0000, 0.2584) x2
P (0.1952, 0.5000, 0.8959) x2
P (0.4605, 0.0000, 0.6731) x2

Values from the calculation:
DOS at the Fermi energy: 1.9 states/eV per cell
Calculated formation energy: -0.16 eV/atom
Magnetization: 0.0 μB/f.u.

=====

# 21
VASP calculation (PBE) on Ta4AsP after structural relaxation.

abc: 7.7072 7.7072 7.7072
angles: 90.00 90.00 90.00
Space group F-43m (No. 216)
Symmetry-distinct sites (fractional):
Ta (0.1250, 0.1250, 0.1250) x16
As (0.2500, 0.2500, 0.7500) x4
P (0.0000, 0.0000, 0.5000) x4

Values from the calculation:
DOS at the Fermi energy: 27.6 states/eV per cell
Calculated formation energy: 0.65 eV/atom
Magnetization: 0.0 μB/f.u.